No. 1
Density functional theory data (PBEsol) for a relaxed LiMn2In crystal.

Cell and atoms, written as POSCAR:
```
LiMn2In
1.0
-0.128 0.148 2.782
3.905 -2.858 -0.326
0.806 5.044 -1.300
Mn Li In
2 1 1
Cartesian
0.403 2.522 -0.650
2.291 1.167 0.578
1.953 -1.429 -0.163
-0.064 0.074 1.391
```

V: 15.307 Å³ per atom
E_form: 0.409 eV per atom


No. 2
Density functional theory data (PBEsol) for a relaxed Li2MnIn crystal.

Cell and atoms, written as POSCAR:
```
Li2MnIn
1.0
-1.421 -1.857 -1.639
-2.284 -1.258 3.404
-3.798 3.889 -1.112
In Mn Li
1 1 2
Cartesian
-3.752 0.387 0.327
-1.852 -1.557 0.882
-0.932 0.954 -0.273
-2.867 2.935 -0.839
```

V: 16.983 Å³ per atom
E_form: 0.178 eV per atom